GeMoPbO6: relaxed, GGA+U.

Results
**Total magnetic moment**: 0.0 μB per cell
**DFT total energy**: -117.428 eV for the cell shown

Unit cell a=5.197 b=5.197 c=10.787 alpha=90.00 beta=90.00 gamma=120.00
Positions (direct):
Ge (0.333, 0.667, 0.750)
O (0.004, 0.614, 0.850)
O (0.390, 0.004, 0.150)
O (0.996, 0.610, 0.350)
O (0.610, 0.996, 0.850)
O (0.610, 0.614, 0.650)
O (0.614, 0.004, 0.350)
Mo (0.667, 0.333, 0.750)
Mo (0.333, 0.667, 0.250)
O (0.390, 0.386, 0.350)
Pb (0.000, 0.000, 0.000)
O (0.614, 0.610, 0.150)
O (0.004, 0.390, 0.650)
Pb (0.000, 0.000, 0.500)
Ge (0.667, 0.333, 0.250)
O (0.386, 0.996, 0.650)
O (0.996, 0.386, 0.150)
O (0.386, 0.390, 0.850)